Below is a geometry-optimized Sr3Cd3Ag structure, with properties calculated at the PBE level.

Cell lengths 6.4911, 6.4911, 16.4978 Å; angles 107.94, 107.94, 44.28 degrees
Fractional positions:
Sr  0.0372  0.0372  0.3876
Sr  0.1074  0.1074  0.9218
Sr  0.2494  0.2494  0.2350
Sr  0.7506  0.7506  0.7650
Sr  0.8926  0.8926  0.0782
Sr  0.9628  0.9628  0.6124
Cd  0.3630  0.3630  0.4587
Cd  0.3934  0.3934  0.9221
Cd  0.4615  0.4615  0.7642
Cd  0.5385  0.5385  0.2358
Cd  0.6066  0.6066  0.0779
Cd  0.6370  0.6370  0.5413
Ag  0.2566  0.2566  0.6077
Ag  0.7434  0.7434  0.3923

Properties
Calculated formation energy   -2.1 eV per formula unit
Crystal system   monoclinic
Space group   C2/m
Magnetization   0.000 μB per cell